# Pm3Ag2Pb | Alexandria via LeMat-Bulk | PBE | relaxed
# Formation energy   -0.337 eV/atom
# Magnetic moment   0.11 μB per atom
data_Pm3Ag2Pb
_space_group_name_H-M_alt 'C m m m'
_space_group_IT_number 65
_space_group_name_Hall '-C 2 2'
_cell_length_a 5.3249
_cell_length_b 16.1676
_cell_length_c 3.8291
_cell_angle_alpha 90.00
_cell_angle_beta 90.00
_cell_angle_gamma 90.00
loop_
_atom_site_label
_atom_site_fract_x
_atom_site_fract_y
_atom_site_fract_z
Pm1 0.0000 0.0000 0.0000
Pm2 0.0000 0.3289 0.0000
Ag1 0.0000 0.1708 0.5000
Pb1 0.0000 0.5000 0.5000